1.
Below is crystalline Pr2SnI8 at its relaxed geometry, with properties calculated at the PBE level.

Summary:
Uncorrected formation energy   -12.7 eV per formula unit

Lattice parameters (Å, degrees): 11.263 11.263 11.212 90.84 90.84 21.96
Sites, in units of the cell vectors:
1 Pr 0.155 0.155 0.270
2 Pr 0.845 0.845 0.730
3 Sn 0.500 0.500 0.000
4 I 0.003 0.003 0.209
5 I 0.238 0.238 0.697
6 I 0.356 0.356 0.953
7 I 0.400 0.400 0.553
8 I 0.600 0.600 0.447
9 I 0.644 0.644 0.047
10 I 0.762 0.762 0.303
11 I 0.997 0.997 0.791

---

2.
Below is crystalline Pr2SnI at its relaxed geometry, with properties calculated at the PBE level.

Summary:
Uncorrected formation energy   -3.5 eV per formula unit
Distance to the lowest polymorph of the same formula   29.2 meV per atom

Lattice parameters (Å, degrees): 8.431 8.431 8.431 31.05 31.05 31.05
Sites, in units of the cell vectors:
1 Pr 0.000 0.000 0.000
2 Pr 0.191 0.191 0.191
3 Sn 0.594 0.594 0.594
4 I 0.764 0.764 0.764

---

3.
Below is crystalline PrSnI at its relaxed geometry, with properties calculated at the PBE level.

Summary:
Uncorrected formation energy   -2.7 eV per formula unit

Lattice parameters (Å, degrees): 5.007 5.007 12.057 100.59 100.59 51.70
Sites, in units of the cell vectors:
1 Pr 0.087 0.087 0.181
2 Pr 0.913 0.913 0.819
3 Sn 0.355 0.355 0.027
4 Sn 0.645 0.645 0.973
5 I 0.189 0.189 0.661
6 I 0.811 0.811 0.339

---

4.
Below is crystalline Pr2SnI at its relaxed geometry, with properties calculated at the PBE level.

Summary:
Uncorrected formation energy   -3.0 eV per formula unit
Distance to the lowest polymorph of the same formula   141.2 meV per atom

Lattice parameters (Å, degrees): 5.593 5.593 5.593 60.00 60.00 60.00
Sites, in units of the cell vectors:
1 Pr 0.250 0.250 0.250
2 Pr 0.750 0.750 0.750
3 Sn 0.000 0.000 0.000
4 I 0.500 0.500 0.500

---

5.
Below is crystalline Pr4Sn2I5 at its relaxed geometry, with properties calculated at the PBE level.

Summary:
Uncorrected formation energy   -11.5 eV per formula unit

Lattice parameters (Å, degrees): 12.718 12.718 8.971 95.31 95.31 19.62
Sites, in units of the cell vectors:
1 Pr 0.021 0.021 0.283
2 Pr 0.334 0.334 0.561
3 Pr 0.666 0.666 0.439
4 Pr 0.979 0.979 0.717
5 Sn 0.445 0.445 0.443
6 Sn 0.555 0.555 0.557
7 I 0.142 0.142 0.178
8 I 0.213 0.213 0.684
9 I 0.500 0.500 0.000
10 I 0.787 0.787 0.316
11 I 0.858 0.858 0.822

---

6.
Below is crystalline PrSnI at its relaxed geometry, with properties calculated at the PBE level.

Summary:
Uncorrected formation energy   -2.8 eV per formula unit

Lattice parameters (Å, degrees): 4.376 4.484 12.203 90.00 100.04 90.00
Sites, in units of the cell vectors:
1 Pr 0.079 0.250 0.162
2 Pr 0.921 0.750 0.838
3 Sn 0.462 0.250 0.922
4 Sn 0.538 0.750 0.078
5 I 0.328 0.750 0.645
6 I 0.672 0.250 0.355

---

7.
Below is crystalline Pr2SnI at its relaxed geometry, with properties calculated at the PBE level.

Summary:
Uncorrected formation energy   -3.6 eV per formula unit
Distance to the lowest polymorph of the same formula   0.0 meV per atom

Lattice parameters (Å, degrees): 8.041 8.041 8.041 33.32 33.32 33.32
Sites, in units of the cell vectors:
1 Pr 0.239 0.239 0.239
2 Pr 0.761 0.761 0.761
3 Sn 0.500 0.500 0.500
4 I 0.000 0.000 0.000

---

8.
Below is crystalline Pr2SnI at its relaxed geometry, with properties calculated at the PBE level.

Summary:
Uncorrected formation energy   -3.2 eV per formula unit
Distance to the lowest polymorph of the same formula   101.5 meV per atom

Lattice parameters (Å, degrees): 3.743 3.743 8.631 90.00 90.00 90.00
Sites, in units of the cell vectors:
1 Pr 0.000 0.000 0.241
2 Pr 0.000 0.000 0.759
3 Sn 0.500 0.500 0.000
4 I 0.500 0.500 0.500

---

> Look up the uncorrected formation energy of the third one.

-2.7 eV per formula unit

---

> Which value of uncorrected formation energy does entry 4 give?

-3.0 eV per formula unit